[1]
The following is a PBE calculation of a relaxed structure of Cd2TcCl, from the Alexandria database.

a = 6.8132 Å, b = 6.8132 Å, c = 6.8132 Å
α = 90.00°, β = 90.00°, γ = 90.00°
Space group F-43m (No. 216)
Inequivalent atoms, fractional coordinates:
Cd: 0.0000 0.0000 0.0000 [4 per cell]
Cd: 0.2500 0.2500 0.2500 [4 per cell]
Tc: 0.2500 0.2500 0.7500 [4 per cell]
Cl: 0.0000 0.0000 0.5000 [4 per cell]

Values from the calculation:
The formation energy without anion corrections is 64.3 kJ/mol of atoms.

[2]
The following is a PBE calculation of a relaxed structure of CeMg2Rh4, from the Alexandria database.

a = 6.4493 Å, b = 6.4493 Å, c = 5.9682 Å
α = 90.00°, β = 90.00°, γ = 90.00°
Space group I4/mmm (No. 139)
Inequivalent atoms, fractional coordinates:
Ce: 0.0000 0.0000 0.0000 [2 per cell]
Mg: 0.0000 0.5000 0.0000 [4 per cell]
Rh: 0.2500 0.2500 0.2500 [8 per cell]

Values from the calculation:
For the energy relative to the elements, the calculation gives -0.33 eV per atom.

[3]
The following is a PBE calculation of a relaxed structure of Tb7NiBr12, from the Alexandria database.

a = 14.8421 Å, b = 14.8421 Å, c = 10.0913 Å
α = 90.00°, β = 90.00°, γ = 120.00°
Space group R-3 (No. 148, hexagonal axes)
Inequivalent atoms, fractional coordinates:
Tb: 0.0000 0.0000 0.0000 [3 per cell]
Tb: 0.0427 0.1617 0.3508 [18 per cell]
Ni: 0.0000 0.0000 0.5000 [3 per cell]
Br: 0.0227 0.5849 0.1588 [18 per cell]
Br: 0.0487 0.1788 0.8412 [18 per cell]

Values from the calculation:
The formation energy without anion corrections is -151.4 kJ/mol of atoms.

[4]
The following is a PBE calculation of a relaxed structure of ZnSe, from the Alexandria database.

a = 14.3712 Å, b = 3.6748 Å, c = 3.6783 Å
α = 90.00°, β = 90.47°, γ = 90.00°
Space group C2/m (No. 12)
Inequivalent atoms, fractional coordinates:
Zn: 0.1817 0.0000 0.2469 [4 per cell]
Se: 0.1417 0.5000 0.7463 [4 per cell]

Values from the calculation:
The formation energy without anion corrections is -37.3 kJ/mol of atoms.

[5]
The following is a PBE calculation of a relaxed structure of PrAsRhS, from the Alexandria database.

a = 4.5244 Å, b = 4.5244 Å, c = 8.5694 Å
α = 90.00°, β = 90.00°, γ = 90.00°
Space group P4/nmm (No. 129, origin choice 2)
Inequivalent atoms, fractional coordinates:
Pr: 0.2500 0.2500 0.1852 [2 per cell]
As: 0.2500 0.2500 0.6286 [2 per cell]
Rh: 0.2500 0.7500 0.5000 [2 per cell]
S: 0.2500 0.7500 0.0000 [2 per cell]

Values from the calculation:
The formation energy without anion corrections is -109.7 kJ/mol of atoms.

[6]
The following is a PBE calculation of a relaxed structure of NaTe3Au, from the Alexandria database.

a = 4.9163 Å, b = 6.0935 Å, c = 10.9397 Å
α = 90.00°, β = 97.19°, γ = 90.00°
Space group P2_1/m (No. 11)
Inequivalent atoms, fractional coordinates:
Na: 0.1876 0.2500 0.1651 [2 per cell]
Te: 0.0767 0.2500 0.8556 [2 per cell]
Te: 0.3618 0.0046 0.6033 [4 per cell]
Au: 0.4019 0.7500 0.0506 [2 per cell]

Values from the calculation:
The formation energy without anion corrections is -18.8 kJ/mol of atoms.

[7]
The following is a PBE calculation of a relaxed structure of Pb5I2O12, from the Alexandria database.

a = 13.8385 Å, b = 6.1902 Å, c = 7.9195 Å
α = 90.00°, β = 110.09°, γ = 90.00°
Space group C2/m (No. 12)
Inequivalent atoms, fractional coordinates:
Pb: 0.0000 0.0000 0.0000 [2 per cell]
Pb: 0.2057 0.5000 0.3151 [4 per cell]
Pb: 0.2076 0.5000 0.8777 [4 per cell]
I: 0.0000 0.2489 0.5000 [4 per cell]
O: 0.0083 0.5000 0.3225 [4 per cell]
O: 0.0328 0.0000 0.3340 [4 per cell]
O: 0.1572 0.2672 0.6450 [8 per cell]
O: 0.1620 0.2557 0.0543 [8 per cell]

Values from the calculation:
The formation energy without anion corrections is -61.1 kJ/mol of atoms.